Entry 1:
DFT (PBE-GGA) results for an optimized crystal structure of Cd2SnAs2Pd5.

Cell and atoms, written as POSCAR:
```
Cd2SnAs2Pd5
1.0
10.159 0.000 0.000
0.000 10.159 0.000
0.000 0.000 3.532
Cd Sn As Pd
4 2 4 10
Direct
0.160 0.340 0.000
0.340 0.840 0.000
0.660 0.160 0.000
0.840 0.660 0.000
0.000 0.000 0.000
0.500 0.500 0.000
0.135 0.635 0.000
0.365 0.135 0.000
0.635 0.865 0.000
0.865 0.365 0.000
0.000 0.500 0.500
0.112 0.822 0.500
0.178 0.112 0.500
0.322 0.612 0.500
0.388 0.322 0.500
0.500 0.000 0.500
0.612 0.678 0.500
0.678 0.388 0.500
0.822 0.888 0.500
0.888 0.178 0.500
```

Its space-group type is P4/mbm, No. 127. As for the formation energy: -26.3 kJ/mol of atoms. The density of states at the Fermi level is 0.33 states/eV per atom. For the total magnetization, the calculation gives 0.00 μB per formula unit.



Entry 2:
DFT (PBE-GGA) results for an optimized crystal structure of CdSn2AsPd.

Cell and atoms, written as POSCAR:
```
CdSn2AsPd
1.0
5.701 -1.999 0.000
5.701 1.999 0.000
-2.578 0.000 5.699
Cd Sn As Pd
1 2 1 1
Direct
0.000 0.000 0.000
0.218 0.218 0.856
0.887 0.887 0.472
0.663 0.663 0.537
0.436 0.436 0.240
```

Its space-group type is Cm, No. 8. As for the formation energy: -15.1 kJ/mol of atoms. The density of states at the Fermi level is 0.31 states/eV per atom. The polymorph energy (0 for the lowest one) is 33 meV/atom. For the total magnetization, the calculation gives 0.00 μB per formula unit.



Entry 3:
DFT (PBE-GGA) results for an optimized crystal structure of CdSn2As2Pd7.

Cell and atoms, written as POSCAR:
```
CdSn2As2Pd7
1.0
2.795 -2.816 0.000
2.795 2.816 0.000
-1.571 0.000 14.717
Cd Sn As Pd
1 2 2 7
Direct
0.000 0.000 0.000
0.125 0.125 0.412
0.875 0.875 0.588
0.429 0.429 0.756
0.571 0.571 0.244
0.043 0.542 0.144
0.391 0.391 0.587
0.458 0.957 0.856
0.500 0.500 0.000
0.542 0.043 0.144
0.609 0.609 0.413
0.957 0.458 0.856
```

Its space-group type is C2/m, No. 12. As for the formation energy: -29.8 kJ/mol of atoms. The density of states at the Fermi level is 0.51 states/eV per atom. For the total magnetization, the calculation gives 0.00 μB per formula unit.



Entry 4:
DFT (PBE-GGA) results for an optimized crystal structure of Cd2SnAsPd.

Cell and atoms, written as POSCAR:
```
Cd2SnAsPd
1.0
5.158 0.000 0.000
0.000 5.158 0.000
0.000 0.000 5.034
Cd Sn As Pd
2 1 1 1
Direct
0.000 0.500 0.000
0.500 0.000 0.000
0.000 0.000 0.500
0.500 0.500 0.500
0.000 0.000 0.000
```

Its space-group type is P4/mmm, No. 123. As for the formation energy: 21.6 kJ/mol of atoms. The density of states at the Fermi level is 0.69 states/eV per atom. For the total magnetization, the calculation gives 0.00 μB per formula unit.



Entry 5:
DFT (PBE-GGA) results for an optimized crystal structure of CdSn2AsPd.

Cell and atoms, written as POSCAR:
```
CdSn2AsPd
1.0
3.883 -2.250 0.000
3.883 2.250 0.000
-2.734 0.000 7.543
Cd Sn As Pd
1 2 1 1
Direct
0.000 0.000 0.000
0.521 0.521 0.552
0.765 0.765 0.301
0.637 0.637 0.916
0.138 0.138 0.412
```

Its space-group type is Cm, No. 8. As for the formation energy: -18.3 kJ/mol of atoms. The density of states at the Fermi level is 0.36 states/eV per atom. The polymorph energy (0 for the lowest one) is 0 meV/atom. For the total magnetization, the calculation gives 0.00 μB per formula unit.



Entry 6:
DFT (PBE-GGA) results for an optimized crystal structure of Sr2CdAsPd6.

Cell and atoms, written as POSCAR:
```
Sr2CdAsPd6
1.0
5.687 0.000 0.000
2.842 5.988 0.000
2.827 0.410 6.568
Sr Cd As Pd
2 1 1 6
Direct
0.241 0.232 0.287
0.759 0.768 0.713
0.500 0.500 0.500
0.000 0.000 0.000
0.247 0.237 0.782
0.249 0.603 0.898
0.269 0.764 0.216
0.731 0.236 0.784
0.751 0.397 0.102
0.753 0.763 0.218
```

Its space-group type is P-1, No. 2. As for the formation energy: -50.7 kJ/mol of atoms. The density of states at the Fermi level is 0.32 states/eV per atom. For the total magnetization, the calculation gives 0.00 μB per formula unit.